Here is a relaxed TmNbNO crystal from OQMD. Energies are from PBE.

Magnetization = 0.00 μB/atom
Excess energy over the best structure of this formula in the dataset = 0.79 eV per formula unit
Mass density = 9.97 g/cm3
Crystal system = tetragonal

Structure (CIF):
```
data_TmNbNO
_cell_length_a 4.664
_cell_length_b 4.664
_cell_length_c 4.470
_cell_angle_alpha 90.00
_cell_angle_beta 90.00
_cell_angle_gamma 90.00
_symmetry_space_group_name_H-M 'P 1'
_symmetry_Int_Tables_number 1
_symmetry_space_group_name_Hall 'P 1'
loop_
_atom_site_label
_atom_site_fract_x
_atom_site_fract_y
_atom_site_fract_z
_atom_site_occupancy
O1 0.250 0.750 0.000 1
Tm1 0.250 0.750 0.500 1
N1 0.750 0.750 0.500 1
N2 0.250 0.250 0.500 1
Tm2 0.750 0.250 0.500 1
Nb1 0.250 0.250 0.000 1
O2 0.750 0.250 0.000 1
Nb2 0.750 0.750 0.000 1
```

---

Here is a relaxed BaInSnPt2 crystal from OQMD. Energies are from PBE.

Magnetization = 0.00 μB/atom
Excess energy over the best structure of this formula in the dataset = 0.00 eV per formula unit
Mass density = 10.23 g/cm3
Crystal system = monoclinic

Structure (CIF):
```
data_BaInSnPt2
_cell_length_a 4.901
_cell_length_b 4.720
_cell_length_c 10.697
_cell_angle_alpha 90.00
_cell_angle_beta 92.53
_cell_angle_gamma 90.00
_symmetry_space_group_name_H-M 'P 1'
_symmetry_Int_Tables_number 1
_symmetry_space_group_name_Hall 'P 1'
loop_
_atom_site_label
_atom_site_fract_x
_atom_site_fract_y
_atom_site_fract_z
_atom_site_occupancy
In1 0.745 0.250 0.497 1
Pt1 0.232 0.250 0.366 1
Ba1 0.735 0.750 0.244 1
In2 0.255 0.750 0.503 1
Ba2 0.265 0.250 0.756 1
Sn1 0.805 0.750 0.888 1
Pt2 0.317 0.750 0.002 1
Pt3 0.683 0.250 0.998 1
Sn2 0.195 0.250 0.112 1
Pt4 0.768 0.750 0.634 1
```

---

Here is a relaxed URe crystal from OQMD. Energies are from PBE.

Magnetization = 0.49 μB/atom
Mass density = 13.24 g/cm3
Raw total energy = -10.34 eV/atom
Crystal system = cubic

Structure (CIF):
```
data_URe
_cell_length_a 4.222
_cell_length_b 4.222
_cell_length_c 4.222
_cell_angle_alpha 60.00
_cell_angle_beta 60.00
_cell_angle_gamma 60.00
_symmetry_space_group_name_H-M 'P 1'
_symmetry_Int_Tables_number 1
_symmetry_space_group_name_Hall 'P 1'
loop_
_atom_site_label
_atom_site_fract_x
_atom_site_fract_y
_atom_site_fract_z
_atom_site_occupancy
U1 0.250 0.250 0.250 1
Re1 0.000 0.000 0.000 1
```

---

Here is a relaxed PrDyAsO crystal from OQMD. Energies are from PBE.

Magnetization = 0.01 μB/atom
Excess energy over the best structure of this formula in the dataset = 0.26 eV per formula unit
Mass density = 7.33 g/cm3
Crystal system = tetragonal

Structure (CIF):
```
data_PrDyAsO
_cell_length_a 4.428
_cell_length_b 4.428
_cell_length_c 9.117
_cell_angle_alpha 90.00
_cell_angle_beta 90.00
_cell_angle_gamma 90.00
_symmetry_space_group_name_H-M 'P 1'
_symmetry_Int_Tables_number 1
_symmetry_space_group_name_Hall 'P 1'
loop_
_atom_site_label
_atom_site_fract_x
_atom_site_fract_y
_atom_site_fract_z
_atom_site_occupancy
Pr1 0.750 0.750 0.889 1
As1 0.250 0.250 0.696 1
O1 0.250 0.750 0.000 1
Dy1 0.750 0.250 0.500 1
Dy2 0.250 0.750 0.500 1
As2 0.750 0.750 0.304 1
Pr2 0.250 0.250 0.111 1
O2 0.750 0.250 0.000 1
```

---

Here is a relaxed Dy2Y2Tm2LuNi2Te2 crystal from OQMD. Energies are from PBE.

Magnetization = 0.00 μB/atom
Excess energy over the best structure of this formula in the dataset = 0.08 eV per formula unit
Mass density = 8.08 g/cm3
Crystal system = orthorhombic

Structure (CIF):
```
data_Dy2Y2Tm2LuNi2Te2
_cell_length_a 9.335
_cell_length_b 9.335
_cell_length_c 9.335
_cell_angle_alpha 156.26
_cell_angle_beta 66.79
_cell_angle_gamma 118.60
_symmetry_space_group_name_H-M 'P 1'
_symmetry_Int_Tables_number 1
_symmetry_space_group_name_Hall 'P 1'
loop_
_atom_site_label
_atom_site_fract_x
_atom_site_fract_y
_atom_site_fract_z
_atom_site_occupancy
Tm1 0.761 0.894 0.867 1
Ni1 0.166 0.406 0.760 1
Te1 0.743 0.243 0.500 1
Y1 0.101 0.746 0.355 1
Ni2 0.646 0.406 0.240 1
Y2 0.392 0.746 0.645 1
Tm2 0.027 0.894 0.133 1
Dy1 0.782 0.098 0.684 1
Dy2 0.413 0.098 0.316 1
Lu1 0.477 0.477 0.000 1
Te2 0.137 0.137 0.000 1
```

---

Here is a relaxed RbZrBeAu crystal from OQMD. Energies are from PBE.

Magnetization = 0.00 μB/atom
Excess energy over the best structure of this formula in the dataset = 0.00 eV per formula unit
Mass density = 7.95 g/cm3
Crystal system = cubic

Structure (CIF):
```
data_RbZrBeAu
_cell_length_a 4.836
_cell_length_b 4.836
_cell_length_c 4.836
_cell_angle_alpha 60.00
_cell_angle_beta 60.00
_cell_angle_gamma 60.00
_symmetry_space_group_name_H-M 'P 1'
_symmetry_Int_Tables_number 1
_symmetry_space_group_name_Hall 'P 1'
loop_
_atom_site_label
_atom_site_fract_x
_atom_site_fract_y
_atom_site_fract_z
_atom_site_occupancy
Be1 0.500 0.500 0.500 1
Au1 0.750 0.750 0.750 1
Rb1 0.250 0.250 0.250 1
Zr1 0.000 0.000 0.000 1
```

---

Here is a relaxed Cs2KHgF6 crystal from OQMD. Energies are from PBE.

Excess energy over the best structure of this formula in the dataset = 1.56 eV per formula unit
Mass density = 5.91 g/cm3
Crystal system = monoclinic

Structure (CIF):
```
data_Cs2KHgF6
_cell_length_a 6.697
_cell_length_b 7.889
_cell_length_c 7.889
_cell_angle_alpha 76.18
_cell_angle_beta 66.39
_cell_angle_gamma 66.39
_symmetry_space_group_name_H-M 'P 1'
_symmetry_Int_Tables_number 1
_symmetry_space_group_name_Hall 'P 1'
loop_
_atom_site_label
_atom_site_fract_x
_atom_site_fract_y
_atom_site_fract_z
_atom_site_occupancy
F1 0.826 0.035 0.168 1
F2 0.674 0.832 0.965 1
K1 0.250 0.847 0.153 1
Hg1 0.750 0.783 0.216 1
F3 0.449 0.401 0.676 1
F4 0.949 0.676 0.400 1
Cs1 0.602 0.648 0.745 1
F5 0.633 0.030 0.625 1
F6 0.133 0.625 0.030 1
Cs2 0.398 0.352 0.256 1
K2 0.750 0.153 0.847 1
Cs3 0.102 0.745 0.648 1
F7 0.868 0.375 0.969 1
F8 0.326 0.168 0.035 1
Cs4 0.898 0.256 0.352 1
F9 0.050 0.324 0.600 1
F10 0.550 0.600 0.325 1
F11 0.368 0.969 0.375 1
F12 0.174 0.965 0.832 1
Hg2 0.250 0.216 0.783 1
```

---

Here is a relaxed YCuSnTeS2 crystal from OQMD. Energies are from PBE.

Magnetization = 0.00 μB/atom
Mass density = 5.17 g/cm3
Raw total energy = -5.17 eV/atom
Crystal system = orthorhombic

Structure (CIF):
```
data_YCuSnTeS2
_cell_length_a 7.074
_cell_length_b 7.074
_cell_length_c 10.972
_cell_angle_alpha 90.00
_cell_angle_beta 90.00
_cell_angle_gamma 147.23
_symmetry_space_group_name_H-M 'P 1'
_symmetry_Int_Tables_number 1
_symmetry_space_group_name_Hall 'P 1'
loop_
_atom_site_label
_atom_site_fract_x
_atom_site_fract_y
_atom_site_fract_z
_atom_site_occupancy
Sn1 0.706 0.294 0.750 1
Te1 0.604 0.396 0.250 1
Cu1 0.975 0.025 0.250 1
S1 0.125 0.875 0.577 1
Y1 0.500 0.500 0.000 1
Cu2 0.025 0.975 0.750 1
S2 0.125 0.875 0.923 1
Y2 0.500 0.500 0.500 1
Sn2 0.294 0.706 0.250 1
S3 0.875 0.125 0.077 1
Te2 0.396 0.604 0.750 1
S4 0.875 0.125 0.423 1
```